1.
# Sc3TiAl8 PBE optimized geometry
# energy relative to the elements	-0.4381	eV/atom
# theoretical density	3.1	g cm⁻³
# D(E_F)	7.6	states/eV per cell
# crystal system	trigonal
data_Sc3TiAl8
_chemical_formula_sum 'Sc3 Ti1 Al8'
_cell_length_a 5.303
_cell_length_b 5.303
_cell_length_c 9.202
_cell_angle_alpha 73.26
_cell_angle_beta 73.26
_cell_angle_gamma 60.00
_symmetry_space_group_name_H-M 'P 1'
_symmetry_Int_Tables_number 1
_symmetry_space_group_name_Hall 'P 1'
loop_
_atom_site_label
_atom_site_fract_x
_atom_site_fract_y
_atom_site_fract_z
_atom_site_occupancy
Al1 0.687 0.687 0.938 1
Ti1 0.875 0.875 0.375 1
Sc1 0.501 0.501 0.497 1
Al2 0.188 0.188 0.437 1
Al3 0.437 0.437 0.191 1
Al4 0.938 0.440 0.684 1
Sc2 0.999 0.999 0.004 1
Al5 0.938 0.938 0.684 1
Sc3 0.375 0.375 0.875 1
Al6 0.936 0.437 0.191 1
Al7 0.440 0.938 0.684 1
Al8 0.437 0.936 0.191 1

---

2.
# ScTiAl PBE optimized geometry
# energy relative to the elements	-0.1573	eV/atom
# theoretical density	3.3	g cm⁻³
# D(E_F)	13.3	states/eV per cell
# crystal system	hexagonal
data_ScTiAl
_chemical_formula_sum 'Sc3 Ti3 Al3'
_cell_length_a 4.147
_cell_length_b 7.077
_cell_length_c 7.077
_cell_angle_alpha 120.00
_cell_angle_beta 90.00
_cell_angle_gamma 90.00
_symmetry_space_group_name_H-M 'P 1'
_symmetry_Int_Tables_number 1
_symmetry_space_group_name_Hall 'P 1'
loop_
_atom_site_label
_atom_site_fract_x
_atom_site_fract_y
_atom_site_fract_z
_atom_site_occupancy
Ti1 0.500 0.000 0.765 1
Sc1 0.000 0.577 0.577 1
Ti2 0.500 0.235 0.235 1
Al1 0.500 0.333 0.667 1
Al2 0.500 0.667 0.333 1
Ti3 0.500 0.765 0.000 1
Sc2 0.000 0.000 0.423 1
Al3 0.000 0.000 0.000 1
Sc3 0.000 0.423 0.000 1

---

3.
# Sc2TiAl2 PBE optimized geometry
# energy relative to the elements	0.2236	eV/atom
# theoretical density	2.9	g cm⁻³
# D(E_F)	5.9	states/eV per cell
# crystal system	tetragonal
data_Sc2TiAl2
_chemical_formula_sum 'Sc2 Ti1 Al2'
_cell_length_a 3.680
_cell_length_b 3.680
_cell_length_c 8.445
_cell_angle_alpha 77.42
_cell_angle_beta 77.42
_cell_angle_gamma 90.00
_symmetry_space_group_name_H-M 'P 1'
_symmetry_Int_Tables_number 1
_symmetry_space_group_name_Hall 'P 1'
loop_
_atom_site_label
_atom_site_fract_x
_atom_site_fract_y
_atom_site_fract_z
_atom_site_occupancy
Ti1 0.000 0.000 0.000 1
Sc1 0.598 0.598 0.803 1
Al1 0.250 0.750 0.500 1
Sc2 0.402 0.402 0.197 1
Al2 0.750 0.250 0.500 1

---

4.
# ScTiAl3 PBE optimized geometry
# energy relative to the elements	0.4360	eV/atom
# theoretical density	2.6	g cm⁻³
# D(E_F)	3.9	states/eV per cell
# crystal system	cubic
data_ScTiAl3
_chemical_formula_sum 'Sc1 Ti1 Al3'
_cell_length_a 4.824
_cell_length_b 4.824
_cell_length_c 4.824
_cell_angle_alpha 90.00
_cell_angle_beta 90.00
_cell_angle_gamma 90.00
_symmetry_space_group_name_H-M 'P 1'
_symmetry_Int_Tables_number 1
_symmetry_space_group_name_Hall 'P 1'
loop_
_atom_site_label
_atom_site_fract_x
_atom_site_fract_y
_atom_site_fract_z
_atom_site_occupancy
Al1 0.500 0.000 0.000 1
Al2 0.000 0.000 0.500 1
Al3 0.000 0.500 0.000 1
Ti1 0.000 0.000 0.000 1
Sc1 0.500 0.500 0.500 1

---

5.
# ScTi3Al PBE optimized geometry
# energy relative to the elements	1.1239	eV/atom
# theoretical density	3.6	g cm⁻³
# D(E_F)	10.1	states/eV per cell
# crystal system	cubic
data_ScTi3Al
_chemical_formula_sum 'Sc1 Ti3 Al1'
_cell_length_a 4.653
_cell_length_b 4.653
_cell_length_c 4.653
_cell_angle_alpha 90.00
_cell_angle_beta 90.00
_cell_angle_gamma 90.00
_symmetry_space_group_name_H-M 'P 1'
_symmetry_Int_Tables_number 1
_symmetry_space_group_name_Hall 'P 1'
loop_
_atom_site_label
_atom_site_fract_x
_atom_site_fract_y
_atom_site_fract_z
_atom_site_occupancy
Ti1 0.000 0.500 0.000 1
Al1 0.500 0.500 0.500 1
Sc1 0.000 0.000 0.000 1
Ti2 0.500 0.000 0.000 1
Ti3 0.000 0.000 0.500 1

---

6.
# ScTiAl6 PBE optimized geometry
# energy relative to the elements	-0.4079	eV/atom
# theoretical density	3.2	g cm⁻³
# D(E_F)	5.3	states/eV per cell
# crystal system	tetragonal
data_ScTiAl6
_chemical_formula_sum 'Sc1 Ti1 Al6'
_cell_length_a 4.042
_cell_length_b 4.042
_cell_length_c 8.071
_cell_angle_alpha 90.00
_cell_angle_beta 90.00
_cell_angle_gamma 90.00
_symmetry_space_group_name_H-M 'P 1'
_symmetry_Int_Tables_number 1
_symmetry_space_group_name_Hall 'P 1'
loop_
_atom_site_label
_atom_site_fract_x
_atom_site_fract_y
_atom_site_fract_z
_atom_site_occupancy
Al1 0.500 0.000 0.743 1
Ti1 0.000 0.000 0.500 1
Al2 0.500 0.500 0.500 1
Al3 0.500 0.500 0.000 1
Al4 0.000 0.500 0.257 1
Al5 0.500 0.000 0.257 1
Al6 0.000 0.500 0.743 1
Sc1 0.000 0.000 0.000 1

---

7.
# ScTiAlTl PBE optimized geometry
# energy relative to the elements	-0.0885	eV/atom
# theoretical density	6.8	g cm⁻³
# D(E_F)	4.4	states/eV per cell
# crystal system	cubic
data_ScTiAlTl
_chemical_formula_sum 'Sc1 Ti1 Al1 Tl1'
_cell_length_a 4.831
_cell_length_b 4.831
_cell_length_c 4.831
_cell_angle_alpha 60.00
_cell_angle_beta 60.00
_cell_angle_gamma 60.00
_symmetry_space_group_name_H-M 'P 1'
_symmetry_Int_Tables_number 1
_symmetry_space_group_name_Hall 'P 1'
loop_
_atom_site_label
_atom_site_fract_x
_atom_site_fract_y
_atom_site_fract_z
_atom_site_occupancy
Sc1 0.750 0.750 0.750 1
Tl1 0.000 0.000 0.000 1
Al1 0.500 0.500 0.500 1
Ti1 0.250 0.250 0.250 1

---

8.
# TmScTiAl PBE optimized geometry
# energy relative to the elements	-0.0965	eV/atom
# theoretical density	5.5	g cm⁻³
# D(E_F)	4.3	states/eV per cell
# crystal system	cubic
data_TmScTiAl
_chemical_formula_sum 'Tm1 Sc1 Ti1 Al1'
_cell_length_a 4.969
_cell_length_b 4.969
_cell_length_c 4.969
_cell_angle_alpha 60.00
_cell_angle_beta 60.00
_cell_angle_gamma 60.00
_symmetry_space_group_name_H-M 'P 1'
_symmetry_Int_Tables_number 1
_symmetry_space_group_name_Hall 'P 1'
loop_
_atom_site_label
_atom_site_fract_x
_atom_site_fract_y
_atom_site_fract_z
_atom_site_occupancy
Al1 0.750 0.750 0.750 1
Ti1 0.250 0.250 0.250 1
Sc1 0.500 0.500 0.500 1
Tm1 0.000 0.000 0.000 1